[1]
Entry from Alexandria: crystalline CdTcP4 at its relaxed geometry (GGA-PBE).

Lattice parameters (Å, degrees): 5.093 5.093 5.093 60.00 60.00 60.00
Fractional positions:
1 Cd 0.000 0.000 0.000
2 Tc 0.250 0.250 0.250
3 P 0.132 0.623 0.623
4 P 0.623 0.132 0.623
5 P 0.623 0.623 0.132
6 P 0.623 0.623 0.623

Values from the calculation:
Crystal system: cubic
Symmetry: No. 216

---

[2]
Entry from Alexandria: crystalline Pm2TmZr at its relaxed geometry (GGA-PBE).

Lattice parameters (Å, degrees): 4.927 4.927 4.887 90.00 90.00 90.00
Fractional positions:
1 Pm 0.000 0.500 0.000
2 Pm 0.500 0.000 0.000
3 Tm 0.000 0.000 0.500
4 Zr 0.500 0.500 0.500

Values from the calculation:
Crystal system: tetragonal
Symmetry: No. 123

---

[3]
Entry from Alexandria: crystalline Ti2In5 at its relaxed geometry (GGA-PBE).

Lattice parameters (Å, degrees): 10.088 10.088 3.006 90.00 90.00 90.00
Fractional positions:
1 Ti 0.179 0.321 0.000
2 Ti 0.321 0.821 0.000
3 Ti 0.679 0.179 0.000
4 Ti 0.821 0.679 0.000
5 In 0.000 0.500 0.500
6 In 0.064 0.792 0.500
7 In 0.208 0.064 0.500
8 In 0.292 0.564 0.500
9 In 0.436 0.292 0.500
10 In 0.500 0.000 0.500
11 In 0.564 0.708 0.500
12 In 0.708 0.436 0.500
13 In 0.792 0.936 0.500
14 In 0.936 0.208 0.500

Values from the calculation:
Crystal system: tetragonal
Symmetry: No. 127

---

[4]
Entry from Alexandria: crystalline CuPbW2 at its relaxed geometry (GGA-PBE).

Lattice parameters (Å, degrees): 3.032 4.837 4.875 90.00 90.70 90.00
Fractional positions:
1 Cu 0.000 0.000 0.000
2 Pb 0.500 0.000 0.500
3 W 0.267 0.500 0.780
4 W 0.733 0.500 0.220

Values from the calculation:
Crystal system: monoclinic
Symmetry: No. 10

---

Values for ΔH_f (0 K), kJ/mol of atoms, ordered as above
76.3; 10.9; -12.8; 76.8